DFT (PBE) results for Re3SiBi after structural relaxation.

Cell: 4.5494 4.5494 4.5494 Å, 90.00 90.00 90.00°
Closest atoms and distances in Å follow each position.
Space group Pm-3m (No. 221)
Asymmetric unit:
Re: 0.0000 0.0000 0.5000 x3  2 Si 2.27
Si: 0.0000 0.0000 0.0000 x1  6 Re 2.27
Bi: 0.5000 0.5000 0.5000 x1  12 Re 3.22

Results
D(E_F) (states/eV per cell): 4.9
Energy above the lowest structure with this stoichiometry (meV per atom): 0.0
Raw formation energy (meV per atom): 1297
E (eV per atom): -8.032
Size of the total moment (μB/f.u.): 2.43